! YGeRh PBE relaxed; values from VASP
! * total magnetization: 0.00 μB per formula unit
! * SG: No. 12
! * calculated formation energy: -0.878 eV/atom
&SYSTEM
  ibrav = 0, nat = 6, ntyp = 3
/
ATOMIC_SPECIES
Y 88.91 Y.upf
Ge 72.64 Ge.upf
Rh 102.91 Rh.upf
CELL_PARAMETERS angstrom
-2.0350 -3.3873 -1.5355
-1.9845 -3.2858 4.0262
-5.7482 0.8450 -0.0986
ATOMIC_POSITIONS crystal
Y 0.0580 0.1791 0.7050
Y 0.9420 0.8209 0.2950
Ge 0.3398 0.6027 0.7177
Ge 0.6602 0.3973 0.2823
Rh 0.6818 0.7394 0.8969
Rh 0.3182 0.2606 0.1031

***

! YGe4Rh6 PBE relaxed; values from VASP
! * total magnetization: 0.00 μB per formula unit
! * SG: No. 187
! * calculated formation energy: -0.749 eV/atom
&SYSTEM
  ibrav = 0, nat = 11, ntyp = 3
/
ATOMIC_SPECIES
Rh 102.91 Rh.upf
Ge 72.64 Ge.upf
Y 88.91 Y.upf
CELL_PARAMETERS angstrom
-0.0217 3.6823 1.0819
-7.1851 0.1735 -0.7343
2.9401 -1.8444 6.3363
ATOMIC_POSITIONS crystal
Rh 0.0000 0.9332 0.4666
Rh 0.5000 0.1984 0.8016
Rh 0.0000 0.5334 0.4666
Rh 0.0000 0.5334 0.0668
Rh 0.5000 0.6032 0.8016
Rh 0.5000 0.1984 0.3968
Ge 0.5000 0.8033 0.1967
Ge 0.5000 0.8033 0.6066
Ge 0.5000 0.3934 0.1967
Ge 0.0000 0.3333 0.6667
Y 0.0000 0.0000 0.0000